Record 1
Here is crystalline Mg2SiCl at its relaxed geometry from Alexandria. Energies are from PBE.

abc: 3.7943 3.7943 20.6461
angles: 90.00 90.00 120.00
Space group R-3m (No. 166, hexagonal axes)
Unique sites:
Mg (0.0000, 0.0000, 0.2394)
Si (0.0000, 0.0000, 0.5000)
Cl (0.0000, 0.0000, 0.0000)

Values from the calculation:
Energy: -3.086 eV/atom
Excess energy over the best structure of this formula in the dataset: 69.9 meV/atom
Formation energy from raw total energies: -0.47 eV/atom
Size of the total moment: 0.00 μB per cell

Record 2
Here is crystalline Mg2SiCl at its relaxed geometry from Alexandria. Energies are from PBE.

abc: 6.193 6.193 11.512
angles: 90.00 90.00 90.00
Space group I-42d (No. 122)
Unique sites:
Mg (0.241, 0.250, 0.125)
Si (0.000, 0.000, 0.000)
Cl (0.000, 0.000, 0.500)

Values from the calculation:
Energy: -2.898 eV/atom
Excess energy over the best structure of this formula in the dataset: 258.1 meV/atom
Formation energy from raw total energies: -0.28 eV/atom
Size of the total moment: 3.54 μB per cell

Record 3
Here is crystalline Mg2SiCl at its relaxed geometry from Alexandria. Energies are from PBE.

abc: 3.248 3.616 7.139
angles: 90.00 90.00 90.00
Space group Pmmm (No. 47)
Unique sites:
Mg (0.000, 0.000, 0.208)
Si (0.500, 0.500, 0.000)
Cl (0.500, 0.000, 0.500)

Values from the calculation:
Energy: -3.126 eV/atom
Excess energy over the best structure of this formula in the dataset: 29.6 meV/atom
Formation energy from raw total energies: -0.51 eV/atom
Size of the total moment: 0.00 μB per cell

Record 4
Here is crystalline MgSiCl at its relaxed geometry from Alexandria. Energies are from PBE.

abc: 6.668 6.668 6.668
angles: 90.00 90.00 90.00
Space group F-43m (No. 216)
Unique sites:
Mg (0.000, 0.000, 0.000)
Si (0.250, 0.250, 0.750)
Cl (0.250, 0.250, 0.250)

Values from the calculation:
Energy: -2.625 eV/atom
Formation energy from raw total energies: 0.33 eV/atom
Size of the total moment: 5.15 μB per cell

Record 5
Here is crystalline MgSiCl3 at its relaxed geometry from Alexandria. Energies are from PBE.

abc: 5.051 5.051 5.051
angles: 90.00 90.00 90.00
Space group Pm-3m (No. 221)
Unique sites:
Mg (0.000, 0.000, 0.000)
Si (0.500, 0.500, 0.500)
Cl (0.000, 0.500, 0.500)

Values from the calculation:
Energy: -2.964 eV/atom
Excess energy over the best structure of this formula in the dataset: 168.8 meV/atom
Formation energy from raw total energies: -0.45 eV/atom
Size of the total moment: 0.97 μB per cell

Record 6
Here is crystalline Mg2Si2Cl at its relaxed geometry from Alexandria. Energies are from PBE.

abc: 4.934 4.934 9.306
angles: 90.00 90.00 90.00
Space group I4/mmm (No. 139)
Unique sites:
Mg (0.000, 0.500, 0.250)
Si (0.000, 0.000, 0.120)
Cl (0.000, 0.000, 0.500)

Values from the calculation:
Energy: -3.140 eV/atom
Excess energy over the best structure of this formula in the dataset: 108.1 meV/atom
Formation energy from raw total energies: 0.04 eV/atom
Size of the total moment: 0.00 μB per cell